This record from Alexandria via LeMat-Bulk describes an optimized crystal structure of Cs6Cl2F. The functional is GGA-PBE.

It has space group C2/c (No. 15), with a = 16.023 Å, b = 22.345 Å, c = 7.214 Å, α = 90.00°, β = 115.07° and γ = 90.00°. The inequivalent atoms are Cs at (0.106, 0.244, 0.077), Cs at (0.123, 0.075, 0.601), Cs at (0.124, 0.398, 0.671), Cl at (0.118, 0.081, 0.097) and F at (0.000, 0.322, 0.750).

The total energy comes out at -23.4 eV per formula unit. The formation energy (no corrections) is -136.08 kJ/mol of atoms. Its density of states at the Fermi level is 0.441 states/eV/atom.